# TmAl2TeO8

Crystalline TmAl2TeO8 at its relaxed geometry (PBE-GGA, Alexandria via LeMat-Bulk).

abc: 6.6627 6.6627 6.3715
angles: 90.00 90.00 90.00
With the nearest neighbours (Å) after each atom.
Space group I-4m2 (No. 119)
Unique sites:
Tm 0.0000 0.0000 0.0000 (multiplicity 2)  8 O 2.18-2.40
Al 0.0000 0.0000 0.5000 (multiplicity 2)  4 O 1.78
Al 0.0000 0.5000 0.7500 (multiplicity 2)  4 O 1.76
Te 0.0000 0.5000 0.2500 (multiplicity 2)  8 O 2.04-2.21
O 0.0000 0.1992 0.3140 (multiplicity 8)  1 Al 1.78
O 0.0000 0.3244 0.9556 (multiplicity 8)  1 Al 1.76

Values from the calculation:
For the spin magnetization, the calculation gives 0.0853 μB per atom. As for the energy: -6.59 eV per atom. The value obtained for the uncorrected formation energy is -2026.4 meV/atom.